Record 1
NdNpS3 | PBE | relaxed

- formation energy (no corrections) (eV per atom) = -1.7310
- SG = No. 62
- energy above the lowest structure with this stoichiometry (eV/f.u.) = 0.00

a = 3.991 Å, b = 7.384 Å, c = 15.418 Å
α = 90.00°, β = 90.00°, γ = 90.00°
Fractional coordinates of all 20 atoms:
Np: 0.250 0.263 0.961
Np: 0.750 0.237 0.461
Np: 0.250 0.763 0.539
Np: 0.750 0.737 0.039
Nd: 0.250 0.131 0.205
Nd: 0.750 0.369 0.705
Nd: 0.750 0.869 0.795
Nd: 0.250 0.631 0.295
S: 0.750 0.487 0.897
S: 0.750 0.628 0.434
S: 0.250 0.013 0.397
S: 0.750 0.846 0.216
S: 0.250 0.372 0.566
S: 0.250 0.654 0.716
S: 0.250 0.872 0.934
S: 0.250 0.513 0.103
S: 0.750 0.987 0.603
S: 0.250 0.154 0.784
S: 0.750 0.346 0.284
S: 0.750 0.128 0.066

Record 2
MnAgCl2 | PBE | relaxed

- formation energy (no corrections) (eV per atom) = -0.3335
- SG = No. 65
- energy above the lowest structure with this stoichiometry (eV/f.u.) = 0.58

a = 3.405 Å, b = 3.405 Å, c = 10.033 Å
α = 90.00°, β = 90.00°, γ = 118.72°
Fractional coordinates of all 4 atoms:
Cl: 0.000 0.000 0.084
Cl: 0.000 0.000 0.416
Ag: 0.500 0.500 0.750
Mn: 0.500 0.500 0.250

Record 3
Cs2HfPI6 | PBE | relaxed

- formation energy (no corrections) (eV per atom) = -0.7512
- SG = No. 139

a = 8.882 Å, b = 8.882 Å, c = 8.887 Å
α = 60.02°, β = 60.02°, γ = 90.00°
Fractional coordinates of all 10 atoms:
Hf: 0.000 0.000 0.000
Cs: 0.250 0.750 0.500
Cs: 0.750 0.250 0.500
P: 0.500 0.500 0.000
I: 0.228 0.228 0.000
I: 0.772 0.772 0.000
I: 0.772 0.772 0.456
I: 0.228 0.772 0.000
I: 0.772 0.228 0.000
I: 0.228 0.228 0.544

Record 4
YMnCl | PBE | relaxed

- formation energy (no corrections) (eV per atom) = 0.2834
- SG = No. 216

a = 4.804 Å, b = 4.804 Å, c = 4.804 Å
α = 60.00°, β = 60.00°, γ = 60.00°
Fractional coordinates of all 3 atoms:
Cl: 0.000 0.000 0.000
Y: 0.750 0.750 0.750
Mn: 0.500 0.500 0.500

Record 5
SiPt2Pb | PBE | relaxed

- formation energy (no corrections) (eV per atom) = 0.0921
- SG = No. 225

a = 4.677 Å, b = 4.677 Å, c = 4.677 Å
α = 60.00°, β = 60.00°, γ = 60.00°
Fractional coordinates of all 4 atoms:
Pb: 0.500 0.500 0.500
Si: 0.000 0.000 0.000
Pt: 0.750 0.750 0.750
Pt: 0.250 0.250 0.250

Record 6
Ti4Ga4Pt | PBE | relaxed

- calculated formation energy (eV per atom) = -0.12
- SG = No. 137

a = 7.501 Å, b = 7.501 Å, c = 5.938 Å
α = 90.00°, β = 90.00°, γ = 90.00°
Fractional coordinates of all 18 atoms:
Ga: 0.000 0.706 0.222
Ga: 0.500 0.206 0.278
Ga: 0.794 0.500 0.722
Ga: 0.706 0.000 0.778
Ga: 0.000 0.294 0.222
Ga: 0.500 0.794 0.278
Ga: 0.206 0.500 0.722
Ga: 0.294 0.000 0.778
Ti: 0.000 0.216 0.662
Ti: 0.500 0.716 0.838
Ti: 0.500 0.284 0.838
Ti: 0.784 0.000 0.338
Ti: 0.716 0.500 0.162
Ti: 0.284 0.500 0.162
Ti: 0.000 0.784 0.662
Ti: 0.216 0.000 0.338
Pt: 0.000 0.000 0.000
Pt: 0.500 0.500 0.500

Record 7
AcSmBiTe | PBE | relaxed

- formation energy (no corrections) (eV per atom) = -0.9839
- SG = No. 166
- energy above the lowest structure with this stoichiometry (eV/f.u.) = 0.11

a = 5.491 Å, b = 5.491 Å, c = 12.425 Å
α = 77.23°, β = 77.23°, γ = 60.00°
Fractional coordinates of all 8 atoms:
Bi: 0.887 0.887 0.340
Bi: 0.113 0.113 0.660
Sm: 0.203 0.203 0.391
Sm: 0.797 0.797 0.609
Te: 0.703 0.703 0.890
Te: 0.297 0.297 0.110
Ac: 0.390 0.390 0.831
Ac: 0.610 0.610 0.169

Record 8
Ga3AsBr | PBE | relaxed

- formation energy (no corrections) (eV per atom) = 0.1350
- SG = No. 221
- energy above the lowest structure with this stoichiometry (eV/f.u.) = 0.00

a = 5.196 Å, b = 5.196 Å, c = 5.196 Å
α = 90.00°, β = 90.00°, γ = 90.00°
Fractional coordinates of all 5 atoms:
As: 0.000 0.000 0.000
Ga: 0.000 0.500 0.000
Ga: 0.000 0.000 0.500
Ga: 0.500 0.000 0.000
Br: 0.500 0.500 0.500